An optimized crystal structure of SrCd2Ni2, computed with GGA-PBE.

The structure in extended XYZ format:
```
10
Lattice="7.8745 0.0000 0.0000 0.0000 7.8745 0.0000 0.0000 0.0000 3.1003" Properties=species:S:1:pos:R:3 pbc="T T T"
Ni 1.2426 2.6946 0.0000
Cd 5.0098 6.8020 1.5501
Cd 1.0725 5.0098 1.5501
Ni 5.1798 1.2426 0.0000
Sr 0.0000 0.0000 0.0000
Ni 6.6319 5.1798 0.0000
Ni 2.6946 6.6319 0.0000
Cd 6.8020 2.8647 1.5501
Sr 3.9372 3.9372 0.0000
Cd 2.8647 1.0725 1.5501
```

Properties
Magnetic moment: 0.0000 μB per atom
Distance to the lowest polymorph of the same formula: 126 meV per atom
ΔH_f (0 K): 0.0461 eV/atom
Space-group type: P4/mbm (127)
Electronic total energy: -29.7 eV for the cell shown